This record from Alexandria describes a geometry-optimized Pm3Pr6Nd2 structure. The functional is PBE.

The structure in extended XYZ format:
```
11
Lattice="-5.774 -1.258 6.181 5.408 3.218 3.575 -6.922 7.465 14.503" Properties=species:S:1:pos:R:3 pbc="T T T"
Nd -1.376 1.817 6.031
Nd -5.913 7.607 18.228
Pr -8.633 5.911 16.916
Pm -5.346 5.235 12.224
Pr -4.275 2.467 9.945
Pr 1.344 3.513 7.343
Pr -3.013 6.957 14.314
Pr -7.901 3.600 14.287
Pr 0.612 5.824 9.972
Pm 0.000 0.000 0.000
Pm -1.943 4.189 12.035
```

Output
VASP energy: -51.06 eV/cell
energy of formation from the pure elements: 0.128 eV/atom
ρ: 6.486 Mg/m³



This record from Alexandria describes a geometry-optimized ZrTa2Al2 structure. The functional is PBE.

The structure in extended XYZ format:
```
10
Lattice="-4.557 -5.608 0.291 0.307 0.125 7.224 -2.680 2.181 0.076" Properties=species:S:1:pos:R:3 pbc="T T T"
Zr -2.125 -2.741 3.757
Ta -5.005 -3.503 2.636
Al -2.802 -3.479 1.070
Ta -2.774 -0.718 1.387
Al -1.448 -2.004 6.444
Al -3.804 -4.839 4.756
Al -0.445 -0.643 2.758
Ta -4.156 -2.583 6.203
Zr 0.000 0.000 0.000
Ta -1.924 0.201 4.955
```

Output
VASP energy: -81.84 eV/cell
energy of formation from the pure elements: -0.237 eV/atom
ρ: 9.318 Mg/m³



This record from Alexandria describes a geometry-optimized CuSnPd4 structure. The functional is PBE.

The structure in extended XYZ format:
```
12
Lattice="-3.721 2.165 -1.872 -3.253 -7.828 -2.586 -3.098 0.131 3.499" Properties=species:S:1:pos:R:3 pbc="T T T"
Pd -4.595 -5.498 -3.110
Pd -7.995 -4.325 -2.288
Cu -3.176 -3.849 0.457
Pd -4.507 -1.493 -0.059
Pd -5.565 -4.039 -0.900
Sn -3.487 -2.832 -2.229
Pd -4.206 -2.535 2.618
Pd -5.867 -2.997 -3.577
Cu -3.410 1.148 0.814
Sn 0.000 0.000 0.000
Pd -5.477 -0.034 2.151
Pd -2.078 -1.207 1.329
```

Output
VASP energy: -61.70 eV/cell
energy of formation from the pure elements: -0.330 eV/atom
ρ: 10.690 Mg/m³



This record from Alexandria describes a geometry-optimized TiMnAs structure. The functional is PBE.

The structure in extended XYZ format:
```
9
Lattice="3.387 -5.867 0.000 3.387 5.867 0.000 0.000 0.000 3.556" Properties=species:S:1:pos:R:3 pbc="T T T"
Mn 4.127 0.000 1.778
Mn 1.323 -2.292 1.778
Ti 2.500 -4.330 0.000
Ti 1.774 0.000 0.000
As 3.387 1.956 0.000
As 0.000 0.000 1.778
Ti 2.500 4.330 0.000
Mn 1.323 2.292 1.778
As 3.387 -1.956 0.000
```

Output
VASP energy: -68.69 eV/cell
energy of formation from the pure elements: -0.394 eV/atom
ρ: 6.264 Mg/m³



This record from Alexandria describes a geometry-optimized ZnCd4Ga10S20 structure. The functional is PBE.

The structure in extended XYZ format:
```
35
Lattice="5.572 0.000 -0.002 -2.785 5.895 -0.008 -0.006 -1.347 24.565" Properties=species:S:1:pos:R:3 pbc="T T T"
Zn -0.021 1.255 19.642
S -1.277 4.026 0.542
S -1.286 2.574 9.168
Ga 2.786 4.231 8.600
Ga 2.782 2.511 17.301
S 1.283 2.771 2.875
S -1.501 3.288 12.797
S 1.286 0.091 7.845
Ga -0.038 4.839 18.483
S 1.289 4.132 22.484
S 1.390 -0.547 20.288
Ga 0.018 2.361 23.227
Cd 2.783 0.619 9.858
Ga 2.784 5.147 12.321
S -1.283 5.252 4.188
Ga 0.000 1.945 7.357
S 4.118 0.690 17.825
Cd 2.785 3.300 4.885
S 4.286 -0.122 14.144
Ga 2.774 0.087 22.023
S 1.519 1.860 15.476
S 1.287 3.804 6.899
S 4.291 1.330 5.535
Cd 0.012 -1.225 24.495
S 1.286 1.112 11.878
S 1.367 3.087 19.057
S 1.505 4.544 10.496
S -1.534 4.380 16.788
Ga 2.789 1.536 13.575
Cd -0.006 3.809 14.808
S -1.408 1.859 21.473
Ga -0.001 1.015 3.643
S 1.534 0.739 23.850
Ga 0.002 4.624 2.375
S 4.075 0.594 1.938
```

Output
VASP energy: -142.13 eV/cell
ΔE_f (raw): -0.697 eV per atom
ρ: 3.815 Mg/m³



This record from Alexandria describes a geometry-optimized Tb2SnSe4 structure. The functional is PBE.

The structure in extended XYZ format:
```
7
Lattice="-0.223 -3.194 2.675 7.159 -0.924 -0.506 -2.281 6.481 4.294" Properties=species:S:1:pos:R:3 pbc="T T T"
Se -1.688 3.486 4.022
Sn 0.000 0.000 0.000
Se 2.051 1.500 5.215
Se 6.344 -1.123 2.442
Tb 3.945 -0.006 3.576
Se 2.604 0.863 1.248
Tb 0.711 2.369 2.888
```

Output
VASP energy: -37.24 eV/cell
ΔE_f (raw): -1.434 eV per atom
ρ: 5.862 Mg/m³



This record from Alexandria describes a geometry-optimized Na2NpTcN4 structure. The functional is PBE.

The structure in extended XYZ format:
```
8
Lattice="5.899 -0.521 -0.798 -2.985 5.115 0.798 -2.985 -1.328 5.003" Properties=species:S:1:pos:R:3 pbc="T T T"
N -2.525 3.021 4.303
N -2.160 0.249 3.157
N 3.469 2.142 0.506
Np -0.035 0.022 3.553
Tc -2.985 1.893 2.901
Na -0.035 3.244 1.450
Na 0.000 0.000 0.000
N 1.075 1.120 2.041
```

Output
VASP energy: -61.79 eV/cell
ΔE_f (raw): -0.319 eV per atom
ρ: 5.362 Mg/m³



This record from Alexandria describes a geometry-optimized Pm2HI5 structure. The functional is PBE.

The structure in extended XYZ format:
```
16
Lattice="1.942 -7.898 0.000 1.942 7.898 0.000 0.000 0.000 21.456" Properties=species:S:1:pos:R:3 pbc="T T T"
Pm 1.942 -4.102 14.204
Pm 1.942 4.102 3.475
I 1.942 -2.377 1.502
I 1.942 -1.574 5.364
Pm 1.942 -4.102 17.981
I 1.942 -6.112 7.988
I 1.942 1.574 16.092
I 1.942 -2.377 9.226
I 1.942 -6.112 2.740
Pm 1.942 4.102 7.253
I 1.942 2.377 12.230
I 1.942 6.112 18.717
H 1.942 4.406 16.092
I 1.942 6.112 13.468
H 1.942 -4.406 5.364
I 1.942 2.377 19.954
```

Output
VASP energy: -57.22 eV/cell
ρ: 4.670 Mg/m³



This record from Alexandria describes a geometry-optimized Li2LaSe structure. The functional is PBE.

The structure in extended XYZ format:
```
4
Lattice="6.265 0.023 0.001 3.628 5.108 -0.001 -4.809 -2.832 2.848" Properties=species:S:1:pos:R:3 pbc="T T T"
La 2.291 2.632 1.424
Se 5.217 2.706 0.000
Li 2.342 -0.567 1.424
Li 0.181 0.094 0.000
```

Output
VASP energy: -14.72 eV/cell
ΔE_f (raw): -0.619 eV per atom
ρ: 4.234 Mg/m³



This record from Alexandria describes a geometry-optimized MgMnZn2Os structure. The functional is PBE.

The structure in extended XYZ format:
```
5
Lattice="-1.369 -4.060 -1.170 1.449 0.737 -4.252 3.982 -1.651 1.070" Properties=species:S:1:pos:R:3 pbc="T T T"
Os 2.031 -2.487 -2.176
Mn 0.724 0.369 -2.126
Zn -0.684 -2.030 -0.585
Zn 1.991 -0.825 0.535
Mg 0.000 0.000 0.000
```

Output
VASP energy: -16.25 eV/cell
energy of formation from the pure elements: 1.659 eV/atom
ρ: 7.402 Mg/m³



This record from Alexandria describes a geometry-optimized BaBe2Tl structure. The functional is PBE.

The structure in extended XYZ format:
```
4
Lattice="5.516 -0.005 -0.001 0.594 5.484 0.001 -2.199 -3.694 3.456" Properties=species:S:1:pos:R:3 pbc="T T T"
Tl 3.406 3.055 0.000
Ba 0.592 2.146 1.729
Be 5.385 4.829 0.000
Be 3.692 -0.026 1.727
```

Output
VASP energy: -9.93 eV/cell
energy of formation from the pure elements: 0.452 eV/atom
ρ: 5.713 Mg/m³



This record from Alexandria describes a geometry-optimized Re2HgOs2 structure. The functional is PBE.

The structure in extended XYZ format:
```
10
Lattice="7.704 0.000 0.000 0.000 7.704 0.000 0.000 0.000 2.782" Properties=species:S:1:pos:R:3 pbc="T T T"
Os 2.880 6.732 0.000
Re 5.091 6.465 1.391
Re 1.239 5.091 1.391
Re 2.613 1.239 1.391
Re 6.465 2.613 1.391
Os 4.824 0.972 0.000
Hg 0.000 0.000 0.000
Hg 3.852 3.852 0.000
Os 6.732 4.824 0.000
Os 0.972 2.880 0.000
```

Output
VASP energy: -91.22 eV/cell
energy of formation from the pure elements: 0.410 eV/atom
ρ: 19.178 Mg/m³